1.
# Rb2SbIO6

Crystalline Rb2SbIO6 at its relaxed geometry (GGA-PBE, Alexandria via LeMat-Bulk).

Space-group type: Immm (71)
Fermi-level density of states (states/eV per atom): 0.1115
Energy relative to the elements, uncorrected (kJ/mol of formula units): -971.8

POSCAR file:
```
Rb2SbIO6
1.0
-2.945 2.946 4.165
2.945 -2.946 4.165
2.945 2.946 -4.165
Rb Sb I O
2 1 1 6
direct
0.250 0.250 0.000
0.750 0.750 0.000
0.500 0.000 0.500
0.000 0.500 0.500
0.252 0.247 0.499
0.252 0.752 0.500
0.252 0.753 0.004
0.748 0.247 0.996
0.748 0.248 0.500
0.748 0.753 0.501
```

---

2.
# Rb2SbI6O

Crystalline Rb2SbI6O at its relaxed geometry (GGA-PBE, Alexandria via LeMat-Bulk).

Space-group type: I4/mmm (139)
Fermi-level density of states (states/eV per atom): 0.7638
Energy relative to the elements, uncorrected (kJ/mol of formula units): -556.7

POSCAR file:
```
Rb2SbI6O
1.0
-4.612 4.612 5.072
4.612 -4.612 5.072
4.612 4.612 -5.072
Rb Sb I O
2 1 6 1
direct
0.250 0.750 0.500
0.750 0.250 0.500
0.000 0.000 0.000
0.230 0.230 0.461
0.230 0.770 0.000
0.291 0.291 0.000
0.709 0.709 0.000
0.770 0.230 0.000
0.770 0.770 0.539
0.500 0.500 0.000
```

---

3.
# RbSbI2O8

Crystalline RbSbI2O8 at its relaxed geometry (GGA-PBE, Alexandria via LeMat-Bulk).

Space-group type: C2/m (12)
Fermi-level density of states (states/eV per atom): 0.0000
Energy relative to the elements, uncorrected (kJ/mol of formula units): -865.8

POSCAR file:
```
RbSbI2O8
1.0
5.789 -2.837 0.000
5.789 2.837 0.000
-2.317 0.000 6.331
Rb Sb I O
1 1 2 8
direct
0.000 0.000 0.000
0.500 0.500 0.500
0.222 0.222 0.675
0.778 0.778 0.325
0.137 0.639 0.301
0.180 0.180 0.393
0.361 0.863 0.699
0.411 0.411 0.702
0.589 0.589 0.298
0.639 0.137 0.301
0.820 0.820 0.607
0.863 0.361 0.699
```

---

4.
# RbSbIO2

Crystalline RbSbIO2 at its relaxed geometry (GGA-PBE, Alexandria via LeMat-Bulk).

Space-group type: Cmcm (63)
Fermi-level density of states (states/eV per atom): 0.2820
Energy relative to the elements, uncorrected (kJ/mol of formula units): -584.1

POSCAR file:
```
RbSbIO2
1.0
3.359 -7.622 0.000
3.359 7.622 0.000
0.000 0.000 5.555
Rb Sb I O
2 2 2 4
direct
0.112 0.888 0.750
0.888 0.112 0.250
0.451 0.549 0.750
0.549 0.451 0.250
0.279 0.721 0.250
0.721 0.279 0.750
0.309 0.309 0.000
0.309 0.309 0.500
0.691 0.691 0.000
0.691 0.691 0.500
```

---

5.
# RbSbIO2

Crystalline RbSbIO2 at its relaxed geometry (GGA-PBE, Alexandria via LeMat-Bulk).

Space-group type: P4/mmm (123)
Fermi-level density of states (states/eV per atom): 0.2446
Energy relative to the elements, uncorrected (kJ/mol of formula units): -358.2

POSCAR file:
```
RbSbIO2
1.0
4.411 0.000 0.000
0.000 4.411 0.000
0.000 0.000 6.189
Rb Sb I O
1 1 1 2
direct
0.000 0.000 0.000
0.500 0.500 0.500
0.500 0.500 0.000
0.000 0.500 0.500
0.500 0.000 0.500
```

---

6.
# Rb2ScI6O

Crystalline Rb2ScI6O at its relaxed geometry (GGA-PBE, Alexandria via LeMat-Bulk).

Space-group type: I4/mmm (139)
Fermi-level density of states (states/eV per atom): 0.4956
Energy relative to the elements, uncorrected (kJ/mol of formula units): -793.3

POSCAR file:
```
Rb2ScI6O
1.0
-3.879 3.879 6.516
3.879 -3.879 6.516
3.879 3.879 -6.516
Rb Sc I O
2 1 6 1
direct
0.250 0.750 0.500
0.750 0.250 0.500
0.000 0.000 0.000
0.221 0.221 0.000
0.266 0.266 0.532
0.266 0.734 0.000
0.734 0.266 0.000
0.734 0.734 0.468
0.779 0.779 0.000
0.500 0.500 0.000
```

---

7.
# Rb2ScIO6

Crystalline Rb2ScIO6 at its relaxed geometry (GGA-PBE, Alexandria via LeMat-Bulk).

Space-group type: R-3m (166)
Energy relative to the elements, uncorrected (kJ/mol of formula units): -1537.2

POSCAR file:
```
Rb2ScIO6
1.0
3.021 1.744 9.694
-3.021 1.744 9.694
0.000 -3.488 9.694
Rb Sc I O
4 2 2 12
direct
0.131 0.131 0.131
0.276 0.276 0.276
0.724 0.724 0.724
0.869 0.869 0.869
0.402 0.402 0.402
0.598 0.598 0.598
0.000 0.000 0.000
0.500 0.500 0.500
0.176 0.600 0.600
0.189 0.189 0.734
0.189 0.734 0.189
0.266 0.811 0.811
0.400 0.400 0.824
0.400 0.824 0.400
0.600 0.176 0.600
0.600 0.600 0.176
0.734 0.189 0.189
0.811 0.266 0.811
0.811 0.811 0.266
0.824 0.400 0.400
```

---

8.
# RbScIO2

Crystalline RbScIO2 at its relaxed geometry (GGA-PBE, Alexandria via LeMat-Bulk).

Space-group type: P4/mmm (123)
Fermi-level density of states (states/eV per atom): 1.5258
Energy relative to the elements, uncorrected (kJ/mol of formula units): 170.2

POSCAR file:
```
RbScIO2
1.0
4.472 0.000 0.000
0.000 4.472 0.000
0.000 0.000 6.192
Rb Sc I O
1 1 1 2
direct
0.000 0.000 0.000
0.500 0.500 0.500
0.000 0.000 0.500
0.000 0.500 0.000
0.500 0.000 0.000
```

---

9.
# RbScIO2

Crystalline RbScIO2 at its relaxed geometry (GGA-PBE, Alexandria via LeMat-Bulk).

Space-group type: P4/mmm (123)
Fermi-level density of states (states/eV per atom): 1.4958
Energy relative to the elements, uncorrected (kJ/mol of formula units): -731.5

POSCAR file:
```
RbScIO2
1.0
4.399 0.000 0.000
0.000 4.399 0.000
0.000 0.000 5.991
Rb Sc I O
1 1 1 2
direct
0.000 0.000 0.000
0.500 0.500 0.500
0.500 0.500 0.000
0.000 0.500 0.500
0.500 0.000 0.500
```

---

10.
# RbScIO6

Crystalline RbScIO6 at its relaxed geometry (GGA-PBE, Alexandria via LeMat-Bulk).

Space-group type: P312 (149)
Fermi-level density of states (states/eV per atom): 0.6892
Energy relative to the elements, uncorrected (kJ/mol of formula units): -1188.7

POSCAR file:
```
RbScIO6
1.0
5.485 0.000 0.000
-2.743 4.750 0.000
0.000 0.000 6.226
Rb Sc I O
1 1 1 6
direct
0.000 0.000 0.000
0.333 0.667 0.500
0.667 0.333 0.500
0.402 0.031 0.673
0.402 0.371 0.327
0.629 0.031 0.327
0.629 0.598 0.673
0.969 0.371 0.673
0.969 0.598 0.327
```

---

11.
# Rb2SeIO6

Crystalline Rb2SeIO6 at its relaxed geometry (GGA-PBE, Alexandria via LeMat-Bulk).

Space-group type: I4/mmm (139)
Fermi-level density of states (states/eV per atom): 0.2538
Energy relative to the elements, uncorrected (kJ/mol of formula units): -677.3

POSCAR file:
```
Rb2SeIO6
1.0
-2.801 2.801 5.232
2.801 -2.801 5.232
2.801 2.801 -5.232
Rb Se I O
2 1 1 6
direct
0.250 0.750 0.500
0.750 0.250 0.500
0.000 0.000 0.000
0.500 0.500 0.000
0.250 0.250 0.501
0.250 0.750 0.000
0.323 0.323 0.000
0.677 0.677 0.000
0.750 0.250 0.000
0.750 0.750 0.499
```

---

12.
# RbSeIO2

Crystalline RbSeIO2 at its relaxed geometry (GGA-PBE, Alexandria via LeMat-Bulk).

Space-group type: P4/mmm (123)
Fermi-level density of states (states/eV per atom): 1.0093
Energy relative to the elements, uncorrected (kJ/mol of formula units): 372.5

POSCAR file:
```
RbSeIO2
1.0
4.740 0.000 0.000
0.000 4.740 0.000
0.000 0.000 7.813
Rb Se I O
1 1 1 2
direct
0.000 0.000 0.000
0.500 0.500 0.500
0.000 0.000 0.500
0.000 0.500 0.000
0.500 0.000 0.000
```

---

| no. | volume (A^3/atom) |
| --- | --- |
| 1 | 14.456 |
| 2 | 43.157 |
| 3 | 17.326 |
| 4 | 28.439 |
| 5 | 24.079 |
| 6 | 39.219 |
| 7 | 15.320 |
| 8 | 24.762 |
| 9 | 23.191 |
| 10 | 18.024 |
| 11 | 16.423 |
| 12 | 35.108 |